Computed, not measured: a geometry-optimized ZnAs structure at the GGA-PBE level of DFT.

abc: 4.178 6.885 9.987
angles: 90.00 90.00 90.00
Fractional positions:
As 0.000 0.988 0.874
As 0.500 0.480 0.000
Zn 0.500 0.212 0.843
Zn 0.000 0.652 0.000
Zn 0.500 0.212 0.157
As 0.000 0.520 0.500
Zn 0.000 0.788 0.657
Zn 0.500 0.348 0.500
Zn 0.000 0.788 0.343
As 0.500 0.012 0.626
As 0.000 0.988 0.126
As 0.500 0.012 0.374

Computed properties:
Formation enthalpy at 0 K = 0.0117 eV per atom
V = 287.25 Å³ per cell
Mass density = 4.9 g/cm³
Magnetization = 0.0 μB per cell